Entry from OQMD: crystalline AlReSi at its relaxed geometry (GGA-PBE).

CIF file:
```
data_AlReSi
_chemical_formula_sum 'Al4 Re4 Si4'
_symmetry_space_group_name_H-M 'F -4 3 m'
_symmetry_Int_Tables_number 216
_symmetry_space_group_name_Hall 'F -4 2 3'
_cell_length_a 5.7387
_cell_length_b 5.7387
_cell_length_c 5.7387
_cell_angle_alpha 90.00
_cell_angle_beta 90.00
_cell_angle_gamma 90.00
loop_
_atom_site_label
_atom_site_type_symbol
_atom_site_fract_x
_atom_site_fract_y
_atom_site_fract_z
_atom_site_occupancy
Al1 Al 0.0000 0.0000 0.0000 1
Re1 Re 0.0000 0.0000 0.5000 1
Si1 Si 0.2500 0.2500 0.2500 1
```



Entry from OQMD: crystalline RbSn5W3 at its relaxed geometry (GGA-PBE).

CIF file:
```
data_RbSn5W3
_chemical_formula_sum 'Rb1 Sn5 W3'
_symmetry_space_group_name_H-M 'P 6/m m m'
_symmetry_Int_Tables_number 191
_symmetry_space_group_name_Hall '-P 6 2'
_cell_length_a 5.5593
_cell_length_b 5.5593
_cell_length_c 9.1518
_cell_angle_alpha 90.00
_cell_angle_beta 90.00
_cell_angle_gamma 120.00
loop_
_atom_site_label
_atom_site_type_symbol
_atom_site_fract_x
_atom_site_fract_y
_atom_site_fract_z
_atom_site_occupancy
Rb1 Rb 0.0000 0.0000 0.0000 1
Sn1 Sn 0.0000 0.0000 0.5000 1
Sn2 Sn 0.3333 0.6667 0.2328 1
W1 W 0.0000 0.5000 0.5000 1
```



Entry from OQMD: crystalline NbHg at its relaxed geometry (GGA-PBE).

CIF file:
```
data_NbHg
_chemical_formula_sum 'Nb4 Hg4'
_symmetry_space_group_name_H-M 'F m -3 m'
_symmetry_Int_Tables_number 225
_symmetry_space_group_name_Hall '-F 4 2 3'
_cell_length_a 5.5939
_cell_length_b 5.5939
_cell_length_c 5.5939
_cell_angle_alpha 90.00
_cell_angle_beta 90.00
_cell_angle_gamma 90.00
loop_
_atom_site_label
_atom_site_type_symbol
_atom_site_fract_x
_atom_site_fract_y
_atom_site_fract_z
_atom_site_occupancy
Nb1 Nb 0.0000 0.0000 0.0000 1
Hg1 Hg 0.0000 0.0000 0.5000 1
```

Computed properties:
Its energy relative to the elements is 175 kJ/mol of formula units.



Entry from OQMD: crystalline RePd at its relaxed geometry (GGA-PBE).

CIF file:
```
data_RePd
_chemical_formula_sum 'Re4 Pd4'
_symmetry_space_group_name_H-M 'F -4 3 m'
_symmetry_Int_Tables_number 216
_symmetry_space_group_name_Hall 'F -4 2 3'
_cell_length_a 5.5826
_cell_length_b 5.5826
_cell_length_c 5.5826
_cell_angle_alpha 90.00
_cell_angle_beta 90.00
_cell_angle_gamma 90.00
loop_
_atom_site_label
_atom_site_type_symbol
_atom_site_fract_x
_atom_site_fract_y
_atom_site_fract_z
_atom_site_occupancy
Re1 Re 0.0000 0.0000 0.0000 1
Pd1 Pd 0.2500 0.2500 0.2500 1
```

Computed properties:
Its energy relative to the elements is 349 kJ/mol of formula units.



Entry from OQMD: crystalline CoHgGe at its relaxed geometry (GGA-PBE).

CIF file:
```
data_CoHgGe
_chemical_formula_sum 'Co4 Hg4 Ge4'
_symmetry_space_group_name_H-M 'F -4 3 m'
_symmetry_Int_Tables_number 216
_symmetry_space_group_name_Hall 'F -4 2 3'
_cell_length_a 5.9847
_cell_length_b 5.9847
_cell_length_c 5.9847
_cell_angle_alpha 90.00
_cell_angle_beta 90.00
_cell_angle_gamma 90.00
loop_
_atom_site_label
_atom_site_type_symbol
_atom_site_fract_x
_atom_site_fract_y
_atom_site_fract_z
_atom_site_occupancy
Co1 Co 0.0000 0.0000 0.0000 1
Hg1 Hg 0.2500 0.2500 0.2500 1
Ge1 Ge 0.2500 0.2500 0.7500 1
```



Entry from OQMD: crystalline BaNaMoIr at its relaxed geometry (GGA-PBE).

CIF file:
```
data_BaNaMoIr
_chemical_formula_sum 'Ba4 Na4 Mo4 Ir4'
_symmetry_space_group_name_H-M 'F -4 3 m'
_symmetry_Int_Tables_number 216
_symmetry_space_group_name_Hall 'F -4 2 3'
_cell_length_a 6.9252
_cell_length_b 6.9252
_cell_length_c 6.9252
_cell_angle_alpha 90.00
_cell_angle_beta 90.00
_cell_angle_gamma 90.00
loop_
_atom_site_label
_atom_site_type_symbol
_atom_site_fract_x
_atom_site_fract_y
_atom_site_fract_z
_atom_site_occupancy
Ba1 Ba 0.0000 0.0000 0.0000 1
Na1 Na 0.2500 0.2500 0.2500 1
Mo1 Mo 0.2500 0.2500 0.7500 1
Ir1 Ir 0.0000 0.0000 0.5000 1
```



What total magnetization values result from the calculations? In sequence: 0.000; 0.007; 0.001; 0.012; 2.131; 1.693 Bohr magnetons per cell.
What VASP energy values result from the calculations? In sequence: -7.08; -6.51; -4.29; -6.99; -3.71; -4.82 eV per atom.